Entry from the Alexandria database: a relaxed structure of Li2Ni2Ag (PBE). Values from VASP.

Geometry as Quantum ESPRESSO input:
```
&SYSTEM
  ibrav = 0, nat = 10, ntyp = 3
/
ATOMIC_SPECIES
Li 6.94 Li.upf
Ni 58.69 Ni.upf
Ag 107.87 Ag.upf
ATOMIC_POSITIONS crystal
Li 0.128 0.372 0.000
Li 0.372 0.872 0.000
Li 0.628 0.128 0.000
Li 0.872 0.628 0.000
Ni 0.170 0.670 0.500
Ni 0.330 0.170 0.500
Ni 0.670 0.830 0.500
Ni 0.830 0.330 0.500
Ag 0.000 0.000 0.000
Ag 0.500 0.500 0.000
CELL_PARAMETERS angstrom
6.877 0.000 0.000
0.000 6.877 0.000
0.000 0.000 2.681
```

Computed properties:
Relative energy among the computed polymorphs in meV/atom: 49
Final energy in eV/cell: -34.65
Calculated formation energy in kJ/mol of atoms: 18
D(E_F) in states/eV/atom: 0.7107
Size of the total moment in μB per atom: 0.00

---

Entry from the Alexandria database: a relaxed structure of CsBaAs3 (PBE). Values from VASP.

Geometry as Quantum ESPRESSO input:
```
&SYSTEM
  ibrav = 0, nat = 5, ntyp = 3
/
ATOMIC_SPECIES
Cs 132.91 Cs.upf
Ba 137.33 Ba.upf
As 74.92 As.upf
ATOMIC_POSITIONS crystal
Cs 0.000 0.000 0.000
Ba 0.500 0.500 0.500
As 0.000 0.500 0.500
As 0.500 0.000 0.500
As 0.500 0.500 0.000
CELL_PARAMETERS angstrom
6.069 0.000 0.000
0.000 6.069 0.000
0.000 0.000 6.069
```

Computed properties:
Relative energy among the computed polymorphs in meV/atom: 0
Final energy in eV/cell: -14.59
Calculated formation energy in kJ/mol of atoms: 41
D(E_F) in states/eV/atom: 1.0212
Size of the total moment in μB per atom: 0.00

---

Entry from the Alexandria database: a relaxed structure of Tc2SbTe (PBE). Values from VASP.

Geometry as Quantum ESPRESSO input:
```
&SYSTEM
  ibrav = 0, nat = 4, ntyp = 3
/
ATOMIC_SPECIES
Tc 98.00 Tc.upf
Sb 121.76 Sb.upf
Te 127.60 Te.upf
ATOMIC_POSITIONS crystal
Tc 0.000 0.000 0.206
Tc 0.000 0.000 0.794
Sb 0.500 0.500 0.000
Te 0.500 0.000 0.500
CELL_PARAMETERS angstrom
3.305 0.000 0.000
0.000 3.342 0.000
0.000 0.000 7.138
```

Computed properties:
Relative energy among the computed polymorphs in meV/atom: 255
Final energy in eV/cell: -26.53
D(E_F) in states/eV/atom: 1.1270
Size of the total moment in μB per atom: 0.00